Entry 1:
The following is a PBE-GGA calculation of a relaxed structure of Si2HgRu, from the Alexandria database.

It has space group Imm2 (No. 44), with a = 3.007 Å, b = 4.670 Å, c = 9.163 Å, α = 90.00°, β = 90.00° and γ = 90.00°. The inequivalent atoms are Si at (0.000, 0.000, 0.000), Si at (0.000, 0.500, 0.269), Hg at (0.000, 0.500, 0.783) and Ru at (0.000, 0.000, 0.566).

For the uncorrected formation energy, the calculation gives 0.346 eV/atom. For the total magnetic moment, the calculation gives 0.000 μB per formula unit.

=====

Entry 2:
The following is a PBE-GGA calculation of a relaxed structure of Na3CeZn2O6, from the Alexandria database.

It has space group C2/m (No. 12), with a = 5.488 Å, b = 9.789 Å, c = 5.829 Å, α = 90.00°, β = 107.07° and γ = 90.00°. The inequivalent atoms are Na at (0.000, 0.000, 0.000), Na at (0.000, 0.324, 0.000), Ce at (0.000, 0.500, 0.500), Zn at (0.000, 0.167, 0.500), O at (0.233, 0.000, 0.720) and O at (0.249, 0.171, 0.290).

For the uncorrected formation energy, the calculation gives -1.809 eV/atom. For the total magnetic moment, the calculation gives 1.076 μB per formula unit.

=====

no.,raw total energy (eV per atom)
1,-4.760
2,-5.325